# 1
{"formula": "Li2ZrMo", "functional": "PBE", "state": "relaxed", "lattice_angstrom": [[-1.850, -3.984, -0.820], [-4.212, -0.248, -1.470], [-0.828, -1.256, -4.208]], "species": ["Zr", "Mo", "Li", "Li"], "frac_coords": [[0.000, 0.000, 0.000], [0.500, 0.500, 0.500], [0.250, 0.250, 0.250], [0.750, 0.750, 0.750]], "formation_energy_mev_per_atom": 561}


# 2
{"formula": "BiSb2TeS", "functional": "PBE", "state": "relaxed", "lattice_angstrom": [[5.860, 0.000, 0.000], [0.000, 5.860, 0.000], [0.000, 0.000, 5.821]], "species": ["Sb", "Bi", "Te", "S", "Sb"], "frac_coords": [[0.000, 0.500, 0.000], [0.000, 0.000, 0.000], [0.000, 0.000, 0.500], [0.500, 0.500, 0.500], [0.500, 0.000, 0.000]], "raw_formation_energy_ev_per_atom": 1.19}


# 3
{"formula": "KLa2Hg", "functional": "PBE", "state": "relaxed", "lattice_angstrom": [[7.395, 0.056, 0.089], [6.454, 3.612, 0.089], [2.447, 0.648, 5.581]], "species": ["K", "La", "La", "Hg"], "frac_coords": [[0.250, 0.250, 0.250], [0.038, 0.038, 0.962], [0.462, 0.462, 0.538], [0.750, 0.750, 0.750]], "formation_energy_mev_per_atom": -13}


# 4
{"formula": "TaCdNiC2", "functional": "PBE", "state": "relaxed", "lattice_angstrom": [[4.104, 0.000, 0.000], [0.000, 4.515, 0.000], [0.000, 0.000, 4.104]], "species": ["Cd", "Ta", "Ni", "C", "C"], "frac_coords": [[0.000, 0.000, 0.000], [0.500, 0.500, 0.500], [0.000, 0.500, 0.000], [0.000, 0.000, 0.500], [0.500, 0.000, 0.000]], "formation_energy_mev_per_atom": 2714}


# 5
{"formula": "CsAl2NiCl8", "functional": "PBE", "state": "relaxed", "lattice_angstrom": [[-1.906, -2.005, 5.751], [1.949, -5.659, 2.214], [7.746, 1.688, 6.697]], "species": ["Al", "Cl", "Cl", "Ni", "Cl", "Cl", "Cl", "Cl", "Al", "Cl", "Cl", "Cs"], "frac_coords": [[0.739, 0.739, 0.782], [0.032, 0.383, 0.846], [0.968, 0.617, 0.154], [0.000, 0.000, 0.000], [0.617, 0.261, 0.154], [0.261, 0.968, 0.154], [0.739, 0.032, 0.846], [0.186, 0.186, 0.442], [0.261, 0.261, 0.218], [0.814, 0.814, 0.558], [0.383, 0.739, 0.846], [0.500, 0.500, 0.500]], "raw_formation_energy_ev_per_atom": -1.37}


# 6
{"formula": "ScTlBi2", "functional": "PBE", "state": "relaxed", "lattice_angstrom": [[3.855, 0.000, 0.000], [0.000, 3.855, 0.000], [0.000, 0.000, 7.992]], "species": ["Bi", "Sc", "Bi", "Tl"], "frac_coords": [[0.000, 0.000, 0.205], [0.500, 0.500, 0.000], [0.000, 0.000, 0.795], [0.500, 0.500, 0.500]], "formation_energy_mev_per_atom": -255}


no.,size of the total moment (μB per formula unit)
1,0.27
2,0.63
3,0.01
4,0.00
5,1.00
6,0.00